A geometry-optimized LiMn2AsO4 structure, computed with PBE+U.

## Properties
Its mass density is 4.7 g/cm³. Its raw total energy is -6.53 eV/atom.

abc: 5.9633 5.9633 7.0216
angles: 118.70 118.70 91.01
With the nearest neighbours (Å) after each atom.
Atoms (fractional coordinates):
Li: 0.0000 0.5000 0.0000  4 O 2.05-2.20
Li: 0.0000 0.5000 0.5000  4 O 2.05-2.20
Mn: 0.5000 0.0000 0.0000  4 O 2.14-2.20
Mn: 0.5000 0.0000 0.5000  4 O 2.14-2.20
Mn: 0.0000 0.0000 0.5000  6 O 2.04-2.21
Mn: 0.5000 0.5000 0.0000  6 O 2.04-2.21
As: 0.5000 0.5000 0.5000  4 O 2.05-2.11
As: 0.0000 0.0000 0.0000  4 O 2.05-2.11
O: 0.2481 0.7672 0.0229  1 Li 2.05, 1 As 2.05, 2 Mn 2.14-2.21
O: 0.7328 0.2519 0.4771  1 Li 2.05, 1 As 2.05, 2 Mn 2.14-2.21
O: 0.2672 0.7481 0.5229  1 Li 2.05, 1 As 2.05, 2 Mn 2.14-2.21
O: 0.7519 0.2328 0.9771  1 Li 2.05, 1 As 2.05, 2 Mn 2.14-2.21
O: 0.8178 0.8177 0.1070  3 Mn 2.04-2.21, 1 As 2.11, 1 Li 2.20
O: 0.6823 0.6822 0.3930  3 Mn 2.04-2.21, 1 As 2.11, 1 Li 2.20
O: 0.3177 0.3178 0.6070  3 Mn 2.04-2.21, 1 As 2.11, 1 Li 2.20
O: 0.1822 0.1823 0.8930  3 Mn 2.04-2.21, 1 As 2.11, 1 Li 2.20

A geometry-optimized LiMnAs2O4 structure, computed with PBE+U.

## Properties
Its mass density is 4.6 g/cm³. Its raw total energy is -5.92 eV/atom.

abc: 5.5558 5.5558 5.3159
angles: 127.08 127.08 81.16
With the nearest neighbours (Å) after each atom.
Atoms (fractional coordinates):
Li: 0.4212 0.4212 0.8425  4 O 2.07-2.26
Mn: 0.9768 0.9768 0.9536  4 O 2.13-2.25
As: 0.7209 0.2209 0.4418  4 O 2.02-2.12
As: 0.2209 0.7209 0.4418  4 O 2.02-2.12
O: 0.6234 0.6234 0.7199  2 As 2.02, 1 Mn 2.13, 1 Li 2.26
O: 0.4424 0.9982 0.4406  1 Li 2.07, 2 As 2.12, 1 Mn 2.25
O: 0.9982 0.4424 0.4406  1 Li 2.07, 2 As 2.12, 1 Mn 2.25
O: 0.0965 0.0965 0.7199  2 As 2.02, 1 Mn 2.13, 1 Li 2.26

A geometry-optimized Li2MnAs2O7 structure, computed with PBE+U.

## Properties
Its mass density is 3.1 g/cm³. Its raw total energy is -6.16 eV/atom.

abc: 5.2598 5.2598 7.9159
angles: 70.60 70.60 60.00
With the nearest neighbours (Å) after each atom.
Atoms (fractional coordinates):
Li: 0.7561 0.7561 0.7317  3 O 1.90
Li: 0.2439 0.2439 0.2683  3 O 1.90
Mn: 0.5000 0.5000 0.5000  6 O 2.25
As: 0.9195 0.9195 0.2415  4 O 1.70-1.77
As: 0.0805 0.0805 0.7585  4 O 1.70-1.77
O: 0.2186 0.8803 0.3049  1 As 1.70, 1 Li 1.90
O: 0.5963 0.2186 0.3049  1 As 1.70, 1 Li 1.90
O: 0.8803 0.5963 0.3049  1 As 1.70, 1 Li 1.90
O: 0.4037 0.1197 0.6951  1 As 1.70, 1 Li 1.90
O: 0.7814 0.4037 0.6951  1 As 1.70, 1 Li 1.90
O: 0.0000 0.0000 0.0000  2 As 1.77
O: 0.1197 0.7814 0.6951  1 As 1.70, 1 Li 1.90

A geometry-optimized LiMnAs2O8 structure, computed with PBE+U.

## Properties
Its mass density is 3.7 g/cm³. Its raw total energy is -5.96 eV/atom.

abc: 5.0331 5.0331 6.8941
angles: 90.00 90.00 120.00
With the nearest neighbours (Å) after each atom.
Atoms (fractional coordinates):
Li: 0.0000 0.0000 0.5000  12 O 2.73-2.91
Mn: 0.0000 0.0000 0.0000  6 O 1.92
As: 0.6667 0.3333 0.2349  4 O 1.72-1.73
As: 0.3333 0.6667 0.7651  4 O 1.72-1.73
O: 0.0279 0.7136 0.8301  1 As 1.73, 1 Mn 1.92
O: 0.2864 0.3143 0.8301  1 As 1.73, 1 Mn 1.92
O: 0.6857 0.9721 0.8301  1 As 1.73, 1 Mn 1.92
O: 0.9721 0.2864 0.1699  1 As 1.73, 1 Mn 1.92
O: 0.7136 0.6857 0.1699  1 As 1.73, 1 Mn 1.92
O: 0.3143 0.0279 0.1699  1 As 1.73, 1 Mn 1.92
O: 0.6667 0.3333 0.4851  1 As 1.72
O: 0.3333 0.6667 0.5149  1 As 1.72

A geometry-optimized LiMnAsO4 structure, computed with PBE+U.

## Properties
Its polymorph energy (0 for the lowest one) is 0.00 kJ per mole of atoms. Its mass density is 3.9 g/cm³.

abc: 4.9986 6.2425 10.9075
angles: 90.00 90.00 90.00
With the nearest neighbours (Å) after each atom.
Atoms (fractional coordinates):
Li: 0.0000 0.0000 0.0000  6 O 2.19-2.27
Li: 0.5000 0.0000 0.5000  6 O 2.19-2.27
Li: 0.0000 0.5000 0.0000  6 O 2.19-2.27
Li: 0.5000 0.5000 0.5000  6 O 2.19-2.27
Mn: 0.9872 0.2500 0.2767  6 O 2.17-2.31
Mn: 0.5128 0.2500 0.7767  6 O 2.17-2.31
Mn: 0.0128 0.7500 0.7233  6 O 2.17-2.31
Mn: 0.4872 0.7500 0.2233  6 O 2.17-2.31
As: 0.0732 0.2500 0.5906  4 O 1.71-1.74
As: 0.4268 0.2500 0.0906  4 O 1.71-1.74
As: 0.9268 0.7500 0.4094  4 O 1.71-1.74
As: 0.5732 0.7500 0.9094  4 O 1.71-1.74
O: 0.7686 0.2500 0.0941  1 As 1.71
O: 0.2314 0.7500 0.9059  1 As 1.71
O: 0.7314 0.2500 0.5941  1 As 1.71
O: 0.2686 0.7500 0.4059  1 As 1.71
O: 0.7157 0.7500 0.0534  1 As 1.73
O: 0.2843 0.2500 0.9466  1 As 1.73
O: 0.2157 0.2500 0.4466  1 As 1.73
O: 0.7843 0.7500 0.5534  1 As 1.73
O: 0.2251 0.4649 0.6648  1 As 1.74
O: 0.7251 0.5351 0.8352  1 As 1.74
O: 0.7749 0.9649 0.3352  1 As 1.74
O: 0.2749 0.0351 0.1648  1 As 1.74
O: 0.7749 0.5351 0.3352  1 As 1.74
O: 0.2749 0.4649 0.1648  1 As 1.74
O: 0.2251 0.0351 0.6648  1 As 1.74
O: 0.7251 0.9649 0.8352  1 As 1.74

A geometry-optimized Li2MnAsO structure, computed with PBE+U.

## Properties
Its mass density is 4.1 g/cm³. Its raw total energy is -5.25 eV/atom.

abc: 3.9522 3.9522 4.1864
angles: 90.00 90.00 90.00
With the nearest neighbours (Å) after each atom.
Atoms (fractional coordinates):
As: 0.5000 0.5000 0.5000  4 Mn 2.79, 8 Li 2.88
Mn: 0.0000 0.0000 0.5000  2 O 2.09
O: 0.0000 0.0000 0.0000  4 Li 1.98, 2 Mn 2.09
Li: 0.0000 0.5000 0.0000  2 O 1.98
Li: 0.5000 0.0000 0.0000  2 O 1.98

Question: The lowest mass density belongs to which entry?
Answer: Li2MnAs2O7

Please write out number 4 again, unchanged.
A geometry-optimized LiMnAs2O8 structure, computed with PBE+U.

## Properties
Its mass density is 3.7 g/cm³. Its raw total energy is -5.96 eV/atom.

abc: 5.0331 5.0331 6.8941
angles: 90.00 90.00 120.00
With the nearest neighbours (Å) after each atom.
Atoms (fractional coordinates):
Li: 0.0000 0.0000 0.5000  12 O 2.73-2.91
Mn: 0.0000 0.0000 0.0000  6 O 1.92
As: 0.6667 0.3333 0.2349  4 O 1.72-1.73
As: 0.3333 0.6667 0.7651  4 O 1.72-1.73
O: 0.0279 0.7136 0.8301  1 As 1.73, 1 Mn 1.92
O: 0.2864 0.3143 0.8301  1 As 1.73, 1 Mn 1.92
O: 0.6857 0.9721 0.8301  1 As 1.73, 1 Mn 1.92
O: 0.9721 0.2864 0.1699  1 As 1.73, 1 Mn 1.92
O: 0.7136 0.6857 0.1699  1 As 1.73, 1 Mn 1.92
O: 0.3143 0.0279 0.1699  1 As 1.73, 1 Mn 1.92
O: 0.6667 0.3333 0.4851  1 As 1.72
O: 0.3333 0.6667 0.5149  1 As 1.72

Question: The lowest mass density belongs to which entry?
Answer: Li2MnAs2O7